# 1
DFT (PBE-GGA) results for a geometry-optimized PBrCl3 structure.

Cell lengths 10.8523, 7.1262, 13.2724 Å; angles 90.00, 125.15, 90.00 degrees
Space group P2_1/c (No. 14)
One atom of each set of equivalent atoms:
1 P 0.2477 0.1116 0.2856 (multiplicity 4)
2 Br 0.2454 0.7187 0.7356 (multiplicity 4)
3 Cl 0.0688 0.2197 0.1249 (multiplicity 4)
4 Cl 0.2504 0.2269 0.9204 (multiplicity 4)
5 Cl 0.4296 0.2129 0.2952 (multiplicity 4)

Summary:
formation energy from raw total energies: -2.299 eV/f.u.
total magnetization: 0.201 μB/atom


# 2
DFT (PBE-GGA) results for a geometry-optimized PBrCl structure.

Cell lengths 6.5727, 6.5727, 6.5727 Å; angles 90.00, 90.00, 90.00 degrees
Space group F-43m (No. 216)
One atom of each set of equivalent atoms:
1 P 0.0000 0.0000 0.0000 (multiplicity 4)
2 Br 0.2500 0.2500 0.2500 (multiplicity 4)
3 Cl 0.2500 0.2500 0.7500 (multiplicity 4)

Summary:
formation energy from raw total energies: 1.491 eV/f.u.
total magnetization: 0.000 μB/atom


# 3
DFT (PBE-GGA) results for a geometry-optimized P2PbBrCl structure.

Cell lengths 5.5851, 5.5851, 5.3240 Å; angles 90.00, 90.00, 90.00 degrees
Space group P4/mmm (No. 123)
One atom of each set of equivalent atoms:
1 P 0.0000 0.5000 0.0000 (multiplicity 2)
2 Pb 0.0000 0.0000 0.0000 (multiplicity 1)
3 Br 0.5000 0.5000 0.5000 (multiplicity 1)
4 Cl 0.0000 0.0000 0.5000 (multiplicity 1)

Summary:
formation energy from raw total energies: 4.082 eV/f.u.
total magnetization: 0.588 μB/atom


# 4
DFT (PBE-GGA) results for a geometry-optimized P2PbBrCl structure.

Cell lengths 4.9755, 4.9755, 5.1884 Å; angles 90.00, 90.00, 90.00 degrees
Space group P4/mmm (No. 123)
One atom of each set of equivalent atoms:
1 P 0.0000 0.5000 0.0000 (multiplicity 2)
2 Pb 0.0000 0.0000 0.5000 (multiplicity 1)
3 Br 0.5000 0.5000 0.0000 (multiplicity 1)
4 Cl 0.5000 0.5000 0.5000 (multiplicity 1)

Summary:
formation energy from raw total energies: 4.088 eV/f.u.
total magnetization: 0.000 μB/atom


# 5
DFT (PBE-GGA) results for a geometry-optimized P2PdBrCl structure.

Cell lengths 4.7386, 4.7386, 4.8878 Å; angles 90.00, 90.00, 90.00 degrees
Space group P4/mmm (No. 123)
One atom of each set of equivalent atoms:
1 P 0.0000 0.5000 0.0000 (multiplicity 2)
2 Pd 0.0000 0.0000 0.0000 (multiplicity 1)
3 Br 0.5000 0.5000 0.5000 (multiplicity 1)
4 Cl 0.0000 0.0000 0.5000 (multiplicity 1)

Summary:
formation energy from raw total energies: 2.718 eV/f.u.
total magnetization: 0.125 μB/atom


# 6
DFT (PBE-GGA) results for a geometry-optimized PPdBrCl2 structure.

Cell lengths 4.8546, 4.8546, 4.7628 Å; angles 90.00, 90.00, 90.00 degrees
Space group P4/mmm (No. 123)
One atom of each set of equivalent atoms:
1 P 0.0000 0.0000 0.0000 (multiplicity 1)
2 Pd 0.0000 0.0000 0.5000 (multiplicity 1)
3 Br 0.5000 0.5000 0.0000 (multiplicity 1)
4 Cl 0.0000 0.5000 0.5000 (multiplicity 2)

Summary:
formation energy from raw total energies: 1.323 eV/f.u.
total magnetization: 0.000 μB/atom